# YSb2As GGA-PBE optimized geometry
data_YSb2As
_space_group_name_H-M_alt 'P 4/m m m'
_space_group_IT_number 123
_space_group_name_Hall '-P 4 2'
_cell_length_a 4.1709
_cell_length_b 4.1709
_cell_length_c 5.8904
_cell_angle_alpha 90.00
_cell_angle_beta 90.00
_cell_angle_gamma 90.00
loop_
_atom_site_label
_atom_site_type_symbol
_atom_site_fract_x
_atom_site_fract_y
_atom_site_fract_z
Y1 Y 0.0000 0.0000 0.0000
Sb1 Sb 0.5000 0.5000 0.2565
As1 As 0.0000 0.0000 0.5000
# Spin magnetization   0.0 μB per cell
# Formation energy (no corrections)   -410 meV/atom
# Energy   -21.0 eV for the cell shown

=====

# Sm4Ag3Hg5 GGA-PBE optimized geometry
data_Sm4Ag3Hg5
_space_group_name_H-M_alt 'C 1 2/m 1'
_space_group_IT_number 12
_cell_length_a 15.8954
_cell_length_b 5.0466
_cell_length_c 9.1343
_cell_angle_alpha 90.00
_cell_angle_beta 120.36
_cell_angle_gamma 90.00
loop_
_space_group_symop_operation_xyz
'x,y,z'
'-x,-y,-z'
'-x,y,-z'
'x,-y,z'
'x+1/2,y+1/2,z'
'-x+1/2,-y+1/2,-z'
'-x+1/2,y+1/2,-z'
'x+1/2,-y+1/2,z'
loop_
_atom_site_label
_atom_site_type_symbol
_atom_site_fract_x
_atom_site_fract_y
_atom_site_fract_z
Sm1 Sm 0.0660 0.0000 0.2361
Sm2 Sm 0.2107 0.5000 0.7405
Ag1 Ag 0.0000 0.5000 0.5000
Ag2 Ag 0.2254 0.5000 0.4128
Hg1 Hg 0.0000 0.0000 0.5000
Hg2 Hg 0.1103 0.5000 0.0430
Hg3 Hg 0.1538 0.0000 0.8794
# Formation energy   -0.18 eV/atom
# Spin magnetization   0.0 μB per cell
# Energy   -62.3 eV for the cell shown